Below is a geometry-optimized TmMgH6Rh2 structure, with properties calculated at the PBE level.

Cell lengths 5.735, 5.735, 5.735 Å; angles 46.52, 46.52, 46.52 degrees
Element x y z (fractional)
Tm  0.000  0.000  0.000
Mg  0.500  0.500  0.500
H  0.058  0.558  0.558
H  0.442  0.442  0.942
H  0.442  0.942  0.442
H  0.558  0.058  0.558
H  0.558  0.558  0.058
H  0.942  0.442  0.442
Rh  0.210  0.210  0.210
Rh  0.790  0.790  0.790

Summary:
Total magnetization   0.000 μB per cell
Total energy   -4.47 eV/atom